VASP calculation (meta-GGA SCAN) on Ba2CaSb at its PBEsol-relaxed geometry.

a b c (Å): 4.4993 4.4993 8.0880
angles (deg): 90.00 90.00 90.00
Last column: nearest neighbours and their distance in Å.
Atoms (fractional coordinates):
Ba 0.0000 0.0000 0.2061  1 Ba 3.33, 4 Sb 3.59
Ba 0.0000 0.0000 0.7939  1 Ba 3.33, 4 Sb 3.59
Ca 0.5000 0.5000 0.5000  8 Ba 3.97, 2 Sb 4.04
Sb 0.5000 0.5000 0.0000  8 Ba 3.59

Results
Calculated density   4.43 g cm⁻³
E_form (uncorrected)   -583.4 meV per atom
Calculated volume   163.73 Å³/cell
Density of states at the Fermi level   3.00 states/eV per cell
Symmetry   P4/mmm, No. 123
Size of the total moment   0.5 μB/f.u.